[1]
# KLaAu4

A relaxed structure of KLaAu4 (PBE-GGA, the Alexandria database).

Properties
The space group is F-43m, No. 216. The calculation puts the formation energy at -382.6 meV/atom. As for the magnetic moment: 0.00 μB per cell. The density comes out at 11.5 g/cm3. The density of states at the Fermi level comes out at 1.274 states/eV/atom.

abc: 5.8135 5.8135 5.8135
angles: 60.00 60.00 60.00
Positions (direct):
K1 0.0000 0.0000 0.0000
La1 0.7500 0.7500 0.7500
Au1 0.3744 0.3744 0.3744
Au2 0.3744 0.3744 0.8768
Au3 0.3744 0.8768 0.3744
Au4 0.8768 0.3744 0.3744

***

[2]
# KLa2Au6

A relaxed structure of KLa2Au6 (PBE-GGA, the Alexandria database).

Properties
The space group is P6/mmm, No. 191. The calculation puts the formation energy at -606.4 meV/atom. As for the magnetic moment: 0.00 μB per cell. The density comes out at 11.0 g/cm3. The density of states at the Fermi level comes out at 0.604 states/eV/atom.

abc: 8.3552 8.3552 3.7292
angles: 90.00 90.00 120.00
Positions (direct):
K1 0.0000 0.0000 0.0000
La1 0.3333 0.6667 0.0000
La2 0.6667 0.3333 0.0000
Au1 0.0000 0.3348 0.5000
Au2 0.0000 0.6652 0.5000
Au3 0.3348 0.0000 0.5000
Au4 0.3348 0.3348 0.5000
Au5 0.6652 0.0000 0.5000
Au6 0.6652 0.6652 0.5000

***

[3]
# KLa3Au

A relaxed structure of KLa3Au (PBE-GGA, the Alexandria database).

Properties
The space group is Pm-3m, No. 221. The calculation puts the formation energy at 1025.7 meV/atom. As for the magnetic moment: 0.00 μB per cell. The density comes out at 6.4 g/cm3. The density of states at the Fermi level comes out at 1.943 states/eV/atom.

abc: 5.5295 5.5295 5.5295
angles: 90.00 90.00 90.00
Positions (direct):
K1 0.0000 0.0000 0.0000
La1 0.0000 0.0000 0.5000
La2 0.0000 0.5000 0.0000
La3 0.5000 0.0000 0.0000
Au1 0.5000 0.5000 0.5000

***

[4]
# KLaAu3

A relaxed structure of KLaAu3 (PBE-GGA, the Alexandria database).

Properties
The space group is Pm-3m, No. 221. The calculation puts the formation energy at 355.4 meV/atom. As for the magnetic moment: 0.00 μB per cell. The density comes out at 8.0 g/cm3. The density of states at the Fermi level comes out at 0.494 states/eV/atom.

abc: 5.4135 5.4135 5.4135
angles: 90.00 90.00 90.00
Positions (direct):
K1 0.0000 0.0000 0.0000
La1 0.5000 0.5000 0.5000
Au1 0.0000 0.0000 0.5000
Au2 0.0000 0.5000 0.0000
Au3 0.5000 0.0000 0.0000